# 1
# Ba4ZnIn3

An optimized crystal structure of Ba4ZnIn3 (PBE-GGA, the Alexandria database).

Results
Total DFT energy (no corrections)   -19.851 eV for the cell shown
Formation energy   -0.334 eV per atom
Size of the total moment   0.00 μB per cell

Cell: 4.2299 4.2299 17.0499 Å, 90.00 90.00 90.00°
Closest atoms and distances in Å follow each position.
Element x y z (fractional)
Ba 0.0000 0.0000 0.1196  4 Zn 3.62, 4 In 3.70
Ba 0.0000 0.0000 0.3734  8 In 3.68-3.69
Ba 0.0000 0.0000 0.6266  8 In 3.68-3.69
Ba 0.0000 0.0000 0.8804  4 Zn 3.62, 4 In 3.70
Zn 0.5000 0.5000 0.0000  8 Ba 3.62
In 0.5000 0.5000 0.2472  8 Ba 3.68-3.70
In 0.5000 0.5000 0.5000  8 Ba 3.69
In 0.5000 0.5000 0.7528  8 Ba 3.68-3.70

# 2
# BaZnIn2

An optimized crystal structure of BaZnIn2 (PBE-GGA, the Alexandria database).

Results
Total DFT energy (no corrections)   -9.434 eV for the cell shown
Formation energy   -0.190 eV per atom
Size of the total moment   0.00 μB per cell

Cell: 4.0699 4.6087 6.8753 Å, 90.00 107.01 90.00°
Closest atoms and distances in Å follow each position.
Element x y z (fractional)
Ba 0.0000 0.0000 0.0000  4 Zn 3.47-3.48, 3 In 3.48-3.70
Zn 0.3790 0.5000 0.7536  2 In 2.73
In 0.2669 0.0000 0.5297  2 Zn 2.73
In 0.6894 0.5000 0.3779  2 Zn 3.19-3.21, 4 In 3.23-3.24

# 3
# Ba2ZnIn

An optimized crystal structure of Ba2ZnIn (PBE-GGA, the Alexandria database).

Results
Total DFT energy (no corrections)   -7.817 eV for the cell shown
Formation energy   0.010 eV per atom
Size of the total moment   0.00 μB per cell

Cell: 10.4355 10.4355 10.4355 Å, 157.71 157.71 31.73°
Closest atoms and distances in Å follow each position.
Element x y z (fractional)
Ba 0.1573 0.1573 0.0000  1 Zn 3.16
Ba 0.8427 0.8427 0.0000  1 Zn 3.16
Zn 0.0000 0.0000 0.0000  4 In 2.85, 2 Ba 3.16
In 0.5000 0.5000 0.0000  4 Zn 2.85

# 4
# BaZn2In

An optimized crystal structure of BaZn2In (PBE-GGA, the Alexandria database).

Results
Total DFT energy (no corrections)   -7.556 eV for the cell shown
Formation energy   -0.087 eV per atom
Size of the total moment   0.00 μB per cell

Cell: 3.6353 3.6353 7.9079 Å, 90.00 90.00 90.00°
Closest atoms and distances in Å follow each position.
Element x y z (fractional)
Ba 0.0000 0.0000 0.0000  5 Zn 3.52-3.56, 4 Ba 3.64, 4 In 3.67
Zn 0.0000 0.0000 0.5497  4 Zn 2.82, 4 In 3.09
Zn 0.5000 0.5000 0.6966  4 Zn 2.82, 1 In 2.88
In 0.5000 0.5000 0.3319  5 Zn 2.88-3.09

# 5
# BaZnIn2

An optimized crystal structure of BaZnIn2 (PBE-GGA, the Alexandria database).

Results
Total DFT energy (no corrections)   -9.100 eV for the cell shown
Formation energy   -0.107 eV per atom
Size of the total moment   0.00 μB per cell

Cell: 4.8327 4.8327 5.1615 Å, 90.00 90.00 90.00°
Closest atoms and distances in Å follow each position.
Element x y z (fractional)
Ba 0.0000 0.0000 0.0000  4 Zn 3.42, 8 In 3.54
Zn 0.5000 0.5000 0.0000  4 Ba 3.42, 8 In 3.54
In 0.0000 0.5000 0.5000  4 In 3.42, 4 Ba 3.54, 4 Zn 3.54
In 0.5000 0.0000 0.5000  4 In 3.42, 4 Ba 3.54, 4 Zn 3.54

# 6
# BaZn2In

An optimized crystal structure of BaZn2In (PBE-GGA, the Alexandria database).

Results
Total DFT energy (no corrections)   -8.074 eV for the cell shown
Formation energy   -0.216 eV per atom
Size of the total moment   0.00 μB per cell

Cell: 6.8114 6.8114 6.8114 Å, 38.97 38.97 38.97°
Closest atoms and distances in Å follow each position.
Element x y z (fractional)
Ba 0.0000 0.0000 0.0000  4 In 3.60-3.82, 7 Zn 3.63-3.77
Zn 0.1998 0.1998 0.1998  3 Zn 2.62, 3 In 2.93
Zn 0.5333 0.5333 0.5333  3 Zn 2.62, 3 In 2.93
In 0.7977 0.7977 0.7977  6 Zn 2.93

# 7
# Ba3Zn8In3

An optimized crystal structure of Ba3Zn8In3 (PBE-GGA, the Alexandria database).

Results
Total DFT energy (no corrections)   -27.126 eV for the cell shown
Formation energy   -0.211 eV per atom
Size of the total moment   0.00 μB per cell

Cell: 9.1096 9.1096 9.1096 Å, 148.70 116.26 72.73°
Closest atoms and distances in Å follow each position.
Element x y z (fractional)
Ba 0.0000 0.0000 0.0000  12 Zn 3.42-3.72, 4 In 3.72
Ba 0.3020 0.3020 0.0000  12 Zn 3.38-3.51, 2 In 3.53
Ba 0.6980 0.6980 0.0000  12 Zn 3.38-3.51, 2 In 3.53
Zn 0.0296 0.6677 0.3620  4 Zn 2.66-2.80, 1 In 2.86
Zn 0.1194 0.8490 0.2704  3 Zn 2.78-2.80
Zn 0.3057 0.6677 0.6380  4 Zn 2.66-2.80, 1 In 2.86
Zn 0.4214 0.1510 0.2704  3 Zn 2.78-2.80
Zn 0.5786 0.8490 0.7296  3 Zn 2.78-2.80
Zn 0.6943 0.3323 0.3620  4 Zn 2.66-2.80, 1 In 2.86
Zn 0.8806 0.1510 0.7296  3 Zn 2.78-2.80
Zn 0.9704 0.3323 0.6380  4 Zn 2.66-2.80, 1 In 2.86
In 0.2907 0.5000 0.7907  2 Zn 2.86, 2 In 3.18
In 0.5000 0.0000 0.5000  4 Zn 3.13, 4 In 3.18
In 0.7093 0.5000 0.2093  2 Zn 2.86, 2 In 3.18

# 8
# Ba4ZnIn

An optimized crystal structure of Ba4ZnIn (PBE-GGA, the Alexandria database).

Results
Offset from the most stable computed form   0 meV per atom
Total DFT energy (no corrections)   -13.027 eV for the cell shown
Formation energy   -0.221 eV per atom
Size of the total moment   0.00 μB per cell

Cell: 4.2385 4.2385 15.3445 Å, 90.00 90.00 90.00°
Closest atoms and distances in Å follow each position.
Element x y z (fractional)
Ba 0.0000 0.0000 0.1255  4 Zn 3.56, 1 Ba 3.85
Ba 0.0000 0.0000 0.8745  4 Zn 3.56, 1 Ba 3.85
Ba 0.5000 0.5000 0.3654  4 In 3.64
Ba 0.5000 0.5000 0.6346  4 In 3.64
Zn 0.5000 0.5000 0.0000  8 Ba 3.56
In 0.0000 0.0000 0.5000  8 Ba 3.64